1.
First-principles (PBE-GGA) data for K8Ba after structural relaxation, as listed in Alexandria.

a = 10.609 Å, b = 10.609 Å, c = 10.609 Å
α = 95.05°, β = 95.05°, γ = 145.49°
Sites, in units of the cell vectors:
K: 0.000 0.333 0.333
K: 0.000 0.667 0.667
K: 0.332 0.332 0.663
K: 0.332 0.668 0.000
K: 0.333 0.000 0.333
K: 0.667 0.000 0.667
K: 0.668 0.332 0.000
K: 0.668 0.668 0.337
Ba: 0.000 0.000 0.000

Energy of formation from the pure elements = 0.47 eV per formula unit
Spin magnetization = 0.000 Bohr magnetons per cell



2.
First-principles (PBE-GGA) data for KBa2 after structural relaxation, as listed in Alexandria.

a = 7.261 Å, b = 7.261 Å, c = 4.418 Å
α = 90.00°, β = 90.00°, γ = 120.00°
Sites, in units of the cell vectors:
K: 0.000 0.000 0.000
Ba: 0.333 0.667 0.291
Ba: 0.667 0.333 0.709

Energy of formation from the pure elements = 0.32 eV per formula unit
Spin magnetization = 0.000 Bohr magnetons per cell



3.
First-principles (PBE-GGA) data for KBa2 after structural relaxation, as listed in Alexandria.

a = 12.513 Å, b = 12.513 Å, c = 4.480 Å
α = 90.00°, β = 90.00°, γ = 120.00°
Sites, in units of the cell vectors:
K: 0.000 0.000 0.000
K: 0.333 0.667 0.500
K: 0.667 0.333 0.500
Ba: 0.000 0.308 0.500
Ba: 0.000 0.644 0.000
Ba: 0.308 0.000 0.500
Ba: 0.356 0.356 0.000
Ba: 0.644 0.000 0.000
Ba: 0.692 0.692 0.500

Energy of formation from the pure elements = 0.31 eV per formula unit
Spin magnetization = 0.000 Bohr magnetons per cell



4.
First-principles (PBE-GGA) data for K6Ba after structural relaxation, as listed in Alexandria.

a = 9.194 Å, b = 9.194 Å, c = 9.194 Å
α = 109.47°, β = 109.47°, γ = 109.47°
Sites, in units of the cell vectors:
K: 0.250 0.500 0.750
K: 0.250 0.750 0.500
K: 0.500 0.250 0.750
K: 0.500 0.750 0.250
K: 0.750 0.250 0.500
K: 0.750 0.500 0.250
Ba: 0.000 0.000 0.000

Energy of formation from the pure elements = 2.51 eV per formula unit
Spin magnetization = 0.000 Bohr magnetons per cell



5.
First-principles (PBE-GGA) data for K2Ba3 after structural relaxation, as listed in Alexandria.

a = 8.755 Å, b = 8.755 Å, c = 8.755 Å
α = 93.26°, β = 93.26°, γ = 93.26°
Sites, in units of the cell vectors:
K: 0.125 0.125 0.125
K: 0.375 0.375 0.375
K: 0.625 0.625 0.625
K: 0.875 0.875 0.875
Ba: 0.081 0.750 0.419
Ba: 0.250 0.581 0.919
Ba: 0.419 0.081 0.750
Ba: 0.581 0.919 0.250
Ba: 0.750 0.419 0.081
Ba: 0.919 0.250 0.581

Polymorph energy (0 for the lowest one) = 97 meV per atom
Energy of formation from the pure elements = 0.70 eV per formula unit
Spin magnetization = 0.000 Bohr magnetons per cell



6.
First-principles (PBE-GGA) data for KBa5 after structural relaxation, as listed in Alexandria.

a = 8.706 Å, b = 8.706 Å, c = 10.859 Å
α = 104.76°, β = 104.76°, γ = 29.72°
Sites, in units of the cell vectors:
K: 0.000 0.000 0.000
Ba: 0.274 0.274 0.050
Ba: 0.332 0.332 0.667
Ba: 0.608 0.608 0.711
Ba: 0.667 0.667 0.337
Ba: 0.938 0.938 0.385

Polymorph energy (0 for the lowest one) = 10 meV per atom
Energy of formation from the pure elements = 0.35 eV per formula unit
Spin magnetization = 0.001 Bohr magnetons per cell



7.
First-principles (PBE-GGA) data for K2BaLa after structural relaxation, as listed in Alexandria.

a = 4.191 Å, b = 6.939 Å, c = 7.526 Å
α = 90.00°, β = 90.00°, γ = 90.00°
Sites, in units of the cell vectors:
K: 0.000 0.000 0.000
K: 0.500 0.500 0.000
Ba: 0.000 0.500 0.500
La: 0.500 0.000 0.500

Polymorph energy (0 for the lowest one) = 119 meV per atom
Energy of formation from the pure elements = 1.30 eV per formula unit
Spin magnetization = 0.001 Bohr magnetons per cell



8.
First-principles (PBE-GGA) data for KBaLa4 after structural relaxation, as listed in Alexandria.

a = 7.302 Å, b = 7.302 Å, c = 7.302 Å
α = 60.00°, β = 60.00°, γ = 60.00°
Sites, in units of the cell vectors:
K: 0.000 0.000 0.000
Ba: 0.250 0.250 0.250
La: 0.143 0.619 0.619
La: 0.619 0.143 0.619
La: 0.619 0.619 0.143
La: 0.619 0.619 0.619

Energy of formation from the pure elements = 2.14 eV per formula unit
Spin magnetization = 1.563 Bohr magnetons per cell